A relaxed Ag9Te crystal. Source: the Open Quantum Materials Database, functional PBE-GGA.

Properties
offset from the most stable computed form	12	meV/atom

a = 2.9735 Å, b = 2.9735 Å, c = 50.1115 Å
α = 90.00°, β = 90.00°, γ = 90.00°
With the nearest neighbours (Å) after each atom.
Element x y z (fractional)
Ag 0.0000 0.5000 0.5986  12 Ag 2.89-2.97
Ag 0.5000 0.0000 0.7183  12 Ag 2.91-2.97
Ag 0.0000 0.5000 0.8400  8 Ag 2.93-2.97
Ag 0.0000 0.5000 0.6781  12 Ag 2.90-2.97
Ag 0.5000 0.0000 0.4014  12 Ag 2.89-2.97
Ag 0.0000 0.5000 0.7586  12 Ag 2.91-2.97
Ag 0.5000 0.0000 0.5590  12 Ag 2.88-2.97
Ag 0.5000 0.0000 0.4804  12 Ag 2.88-2.97
Ag 0.0000 0.5000 0.3617  12 Ag 2.89-2.97
Ag 0.5000 0.0000 0.2414  12 Ag 2.91-2.97
Ag 0.0000 0.5000 0.2008  12 Ag 2.93-2.97
Ag 0.5000 0.0000 0.1600  8 Ag 2.93-2.97
Ag 0.5000 0.0000 0.7992  12 Ag 2.93-2.97
Ag 0.0000 0.5000 0.2817  12 Ag 2.91-2.97
Ag 0.0000 0.5000 0.5196  12 Ag 2.88-2.97
Ag 0.0000 0.5000 0.4410  12 Ag 2.88-2.97
Ag 0.5000 0.0000 0.6383  12 Ag 2.89-2.97
Ag 0.5000 0.0000 0.3219  12 Ag 2.90-2.97
Te 0.5000 0.0000 0.8906  4 Te 2.97, 4 Ag 3.29
Te 0.0000 0.5000 0.1094  4 Te 2.97, 4 Ag 3.29